(1)
A plane-wave DFT calculation with PBE was carried out for LaZn2As after structural relaxation.

a b c (Å): 3.8076 3.8076 6.3835
angles (deg): 90.00 90.00 90.00
Element x y z (fractional)
La: 0.0000 0.0000 0.0000
Zn: 0.0000 0.0000 0.4981
Zn: 0.5000 0.5000 0.3791
As: 0.5000 0.5000 0.7821

Properties
Symmetry: P4mm (99)
D(E_F), states/eV/cell: 0.96
E, Ha/atom: -0.1256

(2)
A plane-wave DFT calculation with PBE was carried out for La2ZnAs4 after structural relaxation.

a b c (Å): 4.0517 4.0517 20.5957
angles (deg): 90.00 90.00 90.00
Element x y z (fractional)
La: 0.0000 0.0000 0.1200
La: 0.0000 0.0000 0.8800
La: 0.5000 0.5000 0.3800
La: 0.5000 0.5000 0.6200
Zn: 0.0000 0.5000 0.7500
Zn: 0.5000 0.0000 0.2500
As: 0.0000 0.0000 0.3237
As: 0.0000 0.0000 0.6763
As: 0.0000 0.5000 0.9995
As: 0.0000 0.5000 0.5005
As: 0.5000 0.0000 0.0005
As: 0.5000 0.0000 0.4995
As: 0.5000 0.5000 0.1763
As: 0.5000 0.5000 0.8237

Properties
Symmetry: I-4m2 (119)
D(E_F), states/eV/cell: 6.89
E, Ha/atom: -0.1902

Q: Among the records above, which one has the highest D(E_F)?
A: La2ZnAs4